An optimized crystal structure of Ba2USnTe5. Source: Alexandria via LeMat-Bulk, functional GGA-PBE.

Geometry as extended XYZ:
```
18
Lattice="-1.536 4.162 -1.589 -7.561 -3.154 6.038 6.374 6.745 11.505" Properties=species:S:1:pos:R:3 pbc="T T T"
Ba -1.664 6.751 12.301
Ba 2.592 4.364 8.925
Ba -0.325 1.781 4.978
Ba -6.203 2.450 5.425
U -2.273 4.962 8.205
U -3.396 -0.325 2.431
Sn 4.726 8.427 10.514
Sn -4.879 2.047 10.080
Te 0.263 5.940 15.303
Te 1.779 7.622 11.254
Te -3.312 4.063 13.844
Te -0.477 3.830 10.494
Te -4.393 5.016 10.398
Te 0.161 5.144 6.330
Te -2.847 1.883 7.686
Te 0.688 3.796 2.289
Te -3.433 2.668 3.318
Te -0.571 0.366 1.511
```

Computed properties:
space group = Cmc2_1, No. 36
magnetic moment = 2.23 μB per formula unit
calculated total energy = -87.9 eV/cell


An optimized crystal structure of CaLaPb2S. Source: Alexandria via LeMat-Bulk, functional GGA-PBE.

Geometry as extended XYZ:
```
5
Lattice="-1.303 4.715 4.463 -5.174 -0.922 -0.536 0.301 -4.503 4.846" Properties=species:S:1:pos:R:3 pbc="T T T"
Pb 0.150 -2.252 2.423
Pb -0.652 2.358 2.232
Ca -3.088 -0.355 4.386
S -2.587 -0.461 -0.268
La 0.000 0.000 0.000
```

Computed properties:
space group = P4/mmm, No. 123
magnetic moment = 0.00 μB per formula unit
calculated total energy = -18.9 eV/cell


An optimized crystal structure of ZrInRu2. Source: Alexandria via LeMat-Bulk, functional GGA-PBE.

Geometry as extended XYZ:
```
4
Lattice="-1.025 2.182 -2.317 -0.758 -3.404 -2.870 -4.232 -0.355 1.538" Properties=species:S:1:pos:R:3 pbc="T T T"
Ru -2.116 -0.178 0.769
Ru -0.379 -1.702 -1.435
Zr -3.007 -0.789 -1.825
In -0.513 1.091 -1.159
```

Computed properties:
energy of formation = -374 meV per atom
space group = P4/mmm, No. 123
magnetic moment = 0.00 μB per formula unit
calculated total energy = -31.3 eV/cell